# 1
This record from Alexandria describes a relaxed PuAgSe2 crystal. The functional is GGA-PBE.

## Properties
- theoretical density (g/cm3) = 8.69
- E_form (uncorrected) (meV/atom) = -829
- D(E_F) (states/eV/atom) = 1.777
- uncorrected energy (eV per cell) = -27.47

a b c (Å): 7.2331 7.2331 7.2331
angles (deg): 32.56 32.56 32.56
Atoms (fractional coordinates):
Pu (0.0000, 0.0000, 0.0000)
Ag (0.1695, 0.1695, 0.1695)
Se (0.5808, 0.5808, 0.5808)
Se (0.7520, 0.7520, 0.7520)

# 2
This record from Alexandria describes a relaxed BaNa2Ca6 crystal. The functional is GGA-PBE.

## Properties
- theoretical density (g/cm3) = 1.76
- ΔH_f (0 K) (kJ per mole of atoms) = 5.6
- D(E_F) (states/eV/atom) = 1.236
- uncorrected energy (eV per cell) = -16.05

a b c (Å): 5.4368 5.4368 13.4920
angles (deg): 90.00 90.00 90.00
Atoms (fractional coordinates):
Ba (0.0000, 0.0000, 0.0000)
Na (0.5000, 0.5000, 0.1161)
Na (0.5000, 0.5000, 0.8839)
Ca (0.0000, 0.0000, 0.5000)
Ca (0.0000, 0.5000, 0.2910)
Ca (0.0000, 0.5000, 0.7090)
Ca (0.5000, 0.0000, 0.2910)
Ca (0.5000, 0.0000, 0.7090)
Ca (0.5000, 0.5000, 0.5000)